Record 1
# Dy2ErGa2 (GGA-PBE, optimized geometry)
data_Dy2ErGa2
_chemical_formula_sum 'Dy4 Er2 Ga4'
_cell_length_a 4.309
_cell_length_b 7.627
_cell_length_c 7.627
_cell_angle_alpha 90.00
_cell_angle_beta 90.00
_cell_angle_gamma 90.00
_symmetry_space_group_name_H-M 'P 1'
_symmetry_Int_Tables_number 1
loop_
_symmetry_equiv_pos_as_xyz
'x,y,z'
loop_
_atom_site_label
_atom_site_type_symbol
_atom_site_fract_x
_atom_site_fract_y
_atom_site_fract_z
Er1 Er 0.000 0.000 0.000
Er2 Er 0.000 0.500 0.500
Dy1 Dy 0.500 0.675 0.825
Dy2 Dy 0.500 0.825 0.325
Dy3 Dy 0.500 0.325 0.175
Dy4 Dy 0.500 0.175 0.675
Ga1 Ga 0.000 0.120 0.380
Ga2 Ga 0.000 0.380 0.880
Ga3 Ga 0.000 0.880 0.620
Ga4 Ga 0.000 0.620 0.120
# - crystal system = tetragonal
# - total DFT energy (no corrections) (eV per atom) = -4.492

Record 2
# DyErGa (GGA-PBE, optimized geometry)
data_DyErGa
_chemical_formula_sum 'Dy2 Er2 Ga2'
_cell_length_a 3.568
_cell_length_b 3.568
_cell_length_c 14.738
_cell_angle_alpha 90.00
_cell_angle_beta 90.00
_cell_angle_gamma 120.00
_symmetry_space_group_name_H-M 'P 1'
_symmetry_Int_Tables_number 1
loop_
_symmetry_equiv_pos_as_xyz
'x,y,z'
loop_
_atom_site_label
_atom_site_type_symbol
_atom_site_fract_x
_atom_site_fract_y
_atom_site_fract_z
Dy1 Dy 0.333 0.667 0.403
Dy2 Dy 0.667 0.333 0.597
Er1 Er 0.667 0.333 0.208
Er2 Er 0.333 0.667 0.792
Ga1 Ga 0.333 0.667 0.058
Ga2 Ga 0.667 0.333 0.942
# - energy above the lowest structure with this stoichiometry (eV/f.u.) = 0.78
# - crystal system = trigonal
# - total DFT energy (no corrections) (eV per atom) = -4.199

Record 3
# Dy2Er3Ga2 (GGA-PBE, optimized geometry)
data_Dy2Er3Ga2
_chemical_formula_sum 'Dy2 Er3 Ga2'
_cell_length_a 3.715
_cell_length_b 6.686
_cell_length_c 8.759
_cell_angle_alpha 113.47
_cell_angle_beta 90.00
_cell_angle_gamma 106.13
_symmetry_space_group_name_H-M 'P 1'
_symmetry_Int_Tables_number 1
loop_
_symmetry_equiv_pos_as_xyz
'x,y,z'
loop_
_atom_site_label
_atom_site_type_symbol
_atom_site_fract_x
_atom_site_fract_y
_atom_site_fract_z
Er1 Er 0.387 0.774 0.560
Er2 Er 0.500 0.000 0.000
Er3 Er 0.613 0.226 0.440
Ga1 Ga 0.182 0.363 0.219
Ga2 Ga 0.818 0.637 0.781
Dy1 Dy 0.856 0.711 0.192
Dy2 Dy 0.144 0.289 0.808
# - crystal system = monoclinic
# - total DFT energy (no corrections) (eV per atom) = -4.465

Record 4
# Dy3ErGa8 (GGA-PBE, optimized geometry)
data_Dy3ErGa8
_chemical_formula_sum 'Dy3 Er1 Ga8'
_cell_length_a 5.476
_cell_length_b 5.476
_cell_length_c 9.603
_cell_angle_alpha 73.43
_cell_angle_beta 73.43
_cell_angle_gamma 60.00
_symmetry_space_group_name_H-M 'P 1'
_symmetry_Int_Tables_number 1
loop_
_symmetry_equiv_pos_as_xyz
'x,y,z'
loop_
_atom_site_label
_atom_site_type_symbol
_atom_site_fract_x
_atom_site_fract_y
_atom_site_fract_z
Ga1 Ga 0.937 0.437 0.188
Ga2 Ga 0.687 0.687 0.938
Ga3 Ga 0.188 0.188 0.437
Ga4 Ga 0.438 0.938 0.687
Ga5 Ga 0.938 0.938 0.687
Ga6 Ga 0.938 0.438 0.687
Ga7 Ga 0.437 0.937 0.188
Ga8 Ga 0.437 0.437 0.188
Dy1 Dy 0.376 0.376 0.873
Dy2 Dy 0.500 0.500 0.501
Dy3 Dy 0.999 0.999 0.002
Er1 Er 0.876 0.876 0.373
# - crystal system = trigonal
# - total DFT energy (no corrections) (eV per atom) = -4.101

Record 5
# DyEr3Ga4 (GGA-PBE, optimized geometry)
data_DyEr3Ga4
_chemical_formula_sum 'Dy1 Er3 Ga4'
_cell_length_a 3.541
_cell_length_b 6.716
_cell_length_c 9.068
_cell_angle_alpha 111.73
_cell_angle_beta 101.26
_cell_angle_gamma 90.00
_symmetry_space_group_name_H-M 'P 1'
_symmetry_Int_Tables_number 1
loop_
_symmetry_equiv_pos_as_xyz
'x,y,z'
loop_
_atom_site_label
_atom_site_type_symbol
_atom_site_fract_x
_atom_site_fract_y
_atom_site_fract_z
Er1 Er 0.797 0.798 0.595
Er2 Er 0.203 0.202 0.405
Er3 Er 0.000 0.500 0.000
Ga1 Ga 0.370 0.563 0.740
Ga2 Ga 0.370 0.178 0.740
Ga3 Ga 0.630 0.437 0.260
Ga4 Ga 0.630 0.822 0.260
Dy1 Dy 0.500 0.000 0.000
# - energy above the lowest structure with this stoichiometry (eV/f.u.) = 0.94
# - crystal system = orthorhombic
# - total DFT energy (no corrections) (eV per atom) = -4.259

Record 6
# DyEr2Ga3 (GGA-PBE, optimized geometry)
data_DyEr2Ga3
_chemical_formula_sum 'Dy2 Er4 Ga6'
_cell_length_a 5.016
_cell_length_b 5.016
_cell_length_c 12.314
_cell_angle_alpha 90.00
_cell_angle_beta 90.00
_cell_angle_gamma 120.00
_symmetry_space_group_name_H-M 'P 1'
_symmetry_Int_Tables_number 1
loop_
_symmetry_equiv_pos_as_xyz
'x,y,z'
loop_
_atom_site_label
_atom_site_type_symbol
_atom_site_fract_x
_atom_site_fract_y
_atom_site_fract_z
Er1 Er 0.000 0.000 0.500
Er2 Er 0.667 0.333 0.834
Er3 Er 0.333 0.667 0.166
Er4 Er 0.000 0.000 0.000
Ga1 Ga 0.667 0.333 0.584
Ga2 Ga 0.000 0.000 0.249
Ga3 Ga 0.333 0.667 0.917
Ga4 Ga 0.000 0.000 0.751
Ga5 Ga 0.667 0.333 0.083
Ga6 Ga 0.333 0.667 0.416
Dy1 Dy 0.667 0.333 0.333
Dy2 Dy 0.333 0.667 0.667
# - energy above the lowest structure with this stoichiometry (eV/f.u.) = 0.00
# - crystal system = trigonal
# - total DFT energy (no corrections) (eV per atom) = -4.380

no.,calculated formation energy (eV per atom),calculated density (g/cm3)
1,-0.528,8.4
2,-0.135,8.2
3,-0.329,8.4
4,-0.552,8.6
5,-0.459,8.0
6,-0.578,8.7